The following is a DFT calculation (GGA+U) of a geometry-optimized Rb2NpCrF6 structure.

Cell lengths 6.809, 8.750, 6.926 Å; angles 90.00, 90.00, 90.00 degrees
Space group Pmmn (No. 59, origin choice 2)
Asymmetric unit:
Rb 0.250 0.010 0.202 [4 per cell]
Np 0.250 0.250 0.711 [2 per cell]
Cr 0.250 0.750 0.750 [2 per cell]
F 0.003 0.250 0.935 [4 per cell]
F 0.033 0.250 0.461 [4 per cell]
F 0.250 0.511 0.766 [4 per cell]

Total magnetic moment: 17.914 Bohr magnetons per cell

The following is a DFT calculation (GGA+U) of a geometry-optimized NpTlCrF6 structure.

Cell lengths 6.0375, 6.0375, 11.5347 Å; angles 90.00, 90.00, 120.00 degrees
Space group P-31c (No. 163)
Asymmetric unit:
Np 0.3333 0.6667 0.2500 [2 per cell]
Tl 0.0000 0.0000 0.0000 [2 per cell]
Cr 0.3333 0.6667 0.7500 [2 per cell]
F 0.0195 0.3802 0.6507 [12 per cell]

Total magnetic moment: 8.000 Bohr magnetons per cell

The following is a DFT calculation (GGA+U) of a geometry-optimized Cr4OF6 structure.

Cell lengths 7.219, 7.219, 5.312 Å; angles 90.00, 90.00, 90.00 degrees
Space group P4_2/nmc (No. 137, origin choice 2)
Asymmetric unit:
Cr 0.002 0.750 0.065 [8 per cell]
O 0.250 0.750 0.250 [2 per cell]
F 0.033 0.533 0.750 [8 per cell]
F 0.250 0.250 0.100 [4 per cell]

Total magnetic moment: 32.000 Bohr magnetons per cell

The following is a DFT calculation (GGA+U) of a geometry-optimized Cr3OF5 structure.

Cell lengths 5.675, 5.827, 7.457 Å; angles 76.51, 75.58, 73.02 degrees
Space group P-1 (No. 2)
Asymmetric unit:
Cr 0.000 0.000 0.000 [1 per cell]
Cr 0.000 0.000 0.500 [1 per cell]
Cr 0.304 0.318 0.159 [2 per cell]
Cr 0.348 0.326 0.675 [2 per cell]
O 0.084 0.086 0.217 [2 per cell]
F 0.007 0.650 0.142 [2 per cell]
F 0.215 0.219 0.491 [2 per cell]
F 0.300 0.716 0.497 [2 per cell]
F 0.359 0.954 0.868 [2 per cell]
F 0.472 0.455 0.848 [2 per cell]

Total magnetic moment: 22.000 Bohr magnetons per cell

The following is a DFT calculation (GGA+U) of a geometry-optimized Cr2OF structure.

Cell lengths 5.392, 5.392, 8.456 Å; angles 90.00, 90.00, 90.00 degrees
Space group I-42d (No. 122)
Asymmetric unit:
Cr 0.213 0.250 0.125 [8 per cell]
O 0.000 0.000 0.000 [4 per cell]
F 0.000 0.000 0.500 [4 per cell]

Excess energy over the best structure of this formula in the dataset: 0 meV/atom
Total magnetic moment: 35.644 Bohr magnetons per cell

The following is a DFT calculation (GGA+U) of a geometry-optimized Cr3OF structure.

Cell lengths 4.314, 4.314, 4.314 Å; angles 90.00, 90.00, 90.00 degrees
Space group Pm-3m (No. 221)
Asymmetric unit:
Cr 0.000 0.000 0.500 [3 per cell]
O 0.000 0.000 0.000 [1 per cell]
F 0.500 0.500 0.500 [1 per cell]

Excess energy over the best structure of this formula in the dataset: 0 meV/atom
Total magnetic moment: 14.515 Bohr magnetons per cell

no.,E (eV/cell)
1,-121.31
2,-111.85
3,-144.02
4,-117.04
5,-107.37
6,-32.12